Entry 1:
# Sr2DyNi9 GGA-PBE relaxed
data_Sr2DyNi9
_chemical_formula_sum 'Sr6 Dy3 Ni27'
_space_group_name_H-M_alt 'R -3 m'
_space_group_IT_number 166
_space_group_name_Hall '-R 3 2"'
_cell_length_a 5.0383
_cell_length_b 5.0383
_cell_length_c 25.0682
_cell_angle_alpha 90.00
_cell_angle_beta 90.00
_cell_angle_gamma 120.00
loop_
_atom_site_label
_atom_site_fract_x
_atom_site_fract_y
_atom_site_fract_z
_atom_site_occupancy
Sr1 0.0000 0.0000 0.1403 1
Dy1 0.0000 0.0000 0.0000 1
Ni1 0.0000 0.0000 0.3323 1
Ni2 0.0000 0.0000 0.5000 1
Ni3 0.0036 0.5018 0.0773 1
# * M_tot: 6.73 μB per cell
# * energy of formation: -0.14 eV/atom
# * VASP energy: -61.6 eV/f.u.

Entry 2:
# DyTaNi10 GGA-PBE relaxed
data_DyTaNi10
_chemical_formula_sum 'Dy1 Ta1 Ni10'
_space_group_name_H-M_alt 'P m m m'
_space_group_IT_number 47
_cell_length_a 3.967
_cell_length_b 4.751
_cell_length_c 8.238
_cell_angle_alpha 90.00
_cell_angle_beta 90.00
_cell_angle_gamma 90.00
loop_
_space_group_symop_operation_xyz
'x,y,z'
'-x,-y,-z'
'-x,-y,z'
'x,y,-z'
'x,-y,-z'
'-x,y,z'
'-x,y,-z'
'x,-y,z'
loop_
_atom_site_label
_atom_site_fract_x
_atom_site_fract_y
_atom_site_fract_z
_atom_site_occupancy
Dy1 0.000 0.000 0.000 1
Ta1 0.000 0.500 0.500 1
Ni1 0.000 0.000 0.343 1
Ni2 0.000 0.500 0.181 1
Ni3 0.500 0.000 0.500 1
Ni4 0.500 0.256 0.260 1
Ni5 0.500 0.500 0.000 1
# * M_tot: 1.98 μB per cell
# * energy of formation: -0.19 eV/atom
# * VASP energy: -76.5 eV/f.u.

Entry 3:
# DyTaNi GGA-PBE relaxed
data_DyTaNi
_chemical_formula_sum 'Dy4 Ta4 Ni4'
_space_group_name_H-M_alt 'I 4/m m m'
_space_group_IT_number 139
_space_group_name_Hall '-I 4 2'
_cell_length_a 4.246
_cell_length_b 4.246
_cell_length_c 13.349
_cell_angle_alpha 90.00
_cell_angle_beta 90.00
_cell_angle_gamma 90.00
loop_
_atom_site_label
_atom_site_fract_x
_atom_site_fract_y
_atom_site_fract_z
_atom_site_occupancy
Dy1 0.000 0.000 0.185 1
Ta1 0.000 0.500 0.000 1
Ni1 0.000 0.000 0.391 1
# * M_tot: 0.00 μB per cell
# * energy of formation: -0.10 eV/atom
# * VASP energy: -22.5 eV/f.u.

Entry 4:
# DyTaNi4 GGA-PBE relaxed
data_DyTaNi4
_chemical_formula_sum 'Dy4 Ta4 Ni16'
_space_group_name_H-M_alt 'F -4 3 m'
_space_group_IT_number 216
_space_group_name_Hall 'F -4 2 3'
_cell_length_a 6.975
_cell_length_b 6.975
_cell_length_c 6.975
_cell_angle_alpha 90.00
_cell_angle_beta 90.00
_cell_angle_gamma 90.00
loop_
_atom_site_label
_atom_site_fract_x
_atom_site_fract_y
_atom_site_fract_z
_atom_site_occupancy
Dy1 0.000 0.000 0.000 1
Ta1 0.250 0.250 0.750 1
Ni1 0.124 0.124 0.376 1
# * M_tot: 0.00 μB per cell
# * energy of formation: -0.21 eV/atom
# * VASP energy: -40.9 eV/f.u.

Entry 5:
# Tb2DyNi GGA-PBE relaxed
data_Tb2DyNi
_chemical_formula_sum 'Tb6 Dy3 Ni3'
_space_group_name_H-M_alt 'R -3 m'
_space_group_IT_number 166
_space_group_name_Hall '-R 3 2"'
_cell_length_a 3.6549
_cell_length_b 3.6549
_cell_length_c 28.3526
_cell_angle_alpha 90.00
_cell_angle_beta 90.00
_cell_angle_gamma 120.00
loop_
_atom_site_label
_atom_site_fract_x
_atom_site_fract_y
_atom_site_fract_z
_atom_site_occupancy
Tb1 0.0000 0.0000 0.2280 1
Dy1 0.0000 0.0000 0.0000 1
Ni1 0.0000 0.0000 0.5000 1
# * M_tot: 0.00 μB per cell
# * energy of formation: -0.07 eV/atom
# * ΔE to the lowest computed polymorph: 0.1676 eV per atom
# * VASP energy: -19.9 eV/f.u.

Entry 6:
# Tb5DyNi2 GGA-PBE relaxed
data_Tb5DyNi2
_chemical_formula_sum 'Tb20 Dy4 Ni8'
_space_group_name_H-M_alt 'C m c m'
_space_group_IT_number 63
_space_group_name_Hall '-C 2c 2'
_cell_length_a 3.656
_cell_length_b 13.092
_cell_length_c 18.325
_cell_angle_alpha 90.00
_cell_angle_beta 90.00
_cell_angle_gamma 90.00
loop_
_atom_site_label
_atom_site_fract_x
_atom_site_fract_y
_atom_site_fract_z
_atom_site_occupancy
Tb1 0.000 0.051 0.250 1
Tb2 0.000 0.176 0.562 1
Tb3 0.000 0.439 0.586 1
Dy1 0.000 0.227 0.750 1
Ni1 0.000 0.200 0.139 1
# * M_tot: 0.00 μB per cell
# * energy of formation: -0.15 eV/atom
# * VASP energy: -40.5 eV/f.u.

Entry 7:
# TbDy3Ni GGA-PBE relaxed
data_TbDy3Ni
_chemical_formula_sum 'Tb4 Dy12 Ni4'
_space_group_name_H-M_alt 'C 1 m 1'
_space_group_IT_number 8
_cell_length_a 12.334
_cell_length_b 3.647
_cell_length_c 12.829
_cell_angle_alpha 90.00
_cell_angle_beta 109.22
_cell_angle_gamma 90.00
loop_
_space_group_symop_operation_xyz
'x,y,z'
'x,-y,z'
'x+1/2,y+1/2,z'
'x+1/2,-y+1/2,z'
loop_
_atom_site_label
_atom_site_fract_x
_atom_site_fract_y
_atom_site_fract_z
_atom_site_occupancy
Tb1 0.000 0.000 0.000 1
Tb2 0.130 0.000 0.283 1
Dy1 0.116 0.000 0.580 1
Dy2 0.245 0.000 0.861 1
Dy3 0.268 0.500 0.110 1
Dy4 0.320 0.500 0.517 1
Dy5 0.426 0.000 0.346 1
Dy6 0.478 0.000 0.752 1
Ni1 0.284 0.500 0.719 1
Ni2 0.461 0.000 0.143 1
# * M_tot: 0.00 μB per cell
# * energy of formation: -0.17 eV/atom
# * ΔE to the lowest computed polymorph: 0.0000 eV per atom
# * VASP energy: -25.1 eV/f.u.

Entry 8:
# TbDy6Ni3 GGA-PBE relaxed
data_TbDy6Ni3
_chemical_formula_sum 'Tb4 Dy24 Ni12'
_space_group_name_H-M_alt 'C m c 21'
_space_group_IT_number 36
_cell_length_a 10.984
_cell_length_b 12.985
_cell_length_c 7.030
_cell_angle_alpha 90.00
_cell_angle_beta 90.00
_cell_angle_gamma 90.00
loop_
_space_group_symop_operation_xyz
'x,y,z'
'-x,-y,z+1/2'
'-x,y,z'
'x,-y,z+1/2'
'x+1/2,y+1/2,z'
'-x+1/2,-y+1/2,z+1/2'
'-x+1/2,y+1/2,z'
'x+1/2,-y+1/2,z+1/2'
loop_
_atom_site_label
_atom_site_fract_x
_atom_site_fract_y
_atom_site_fract_z
_atom_site_occupancy
Tb1 0.000 0.180 0.000 1
Dy1 0.000 0.273 0.538 1
Dy2 0.000 0.468 0.886 1
Dy3 0.167 0.037 0.377 1
Dy4 0.226 0.308 0.229 1
Ni1 0.000 0.082 0.669 1
Ni2 0.194 0.394 0.595 1
# * M_tot: 0.00 μB per cell
# * energy of formation: -0.23 eV/atom
# * VASP energy: -51.9 eV/f.u.